[1]
The following is a DFT calculation (PBE) of crystalline Ce2Si3Pt at its relaxed geometry.

a = 5.8763 Å, b = 5.8763 Å, c = 8.2541 Å
α = 111.34°, β = 111.34°, γ = 88.71°
Site moments in Bohr magnetons follow the coordinates.
Element x y z (fractional)
Ce: 0.2500 0.7500 0.5000  0.58
Ce: 0.7528 0.7528 0.0000  0.46
Ce: 0.7500 0.2500 0.5000  0.58
Ce: 0.2472 0.2472 0.0000  0.46
Si: 0.6697 0.1654 0.8352  0.00
Si: 0.8346 0.3303 0.1648  0.00
Si: 0.3303 0.8346 0.1648  0.00
Si: 0.1654 0.6697 0.8352  0.00
Si: 0.8355 0.8355 0.6711  0.00
Si: 0.1645 0.1645 0.3289  0.00
Pt: 0.3328 0.3328 0.6655  -0.01
Pt: 0.6672 0.6672 0.3345  -0.01

## Properties
E_form (uncorrected) (eV per formula unit): -5.7

=====

[2]
The following is a DFT calculation (PBE) of crystalline Ce2Si3Pt9 at its relaxed geometry.

a = 7.7073 Å, b = 7.7073 Å, c = 10.1642 Å
α = 90.32°, β = 111.87°, γ = 120.10°
Site moments in Bohr magnetons follow the coordinates.
Element x y z (fractional)
Ce: 0.3373 0.2413 0.7512  -0.22
Ce: 0.6627 0.7587 0.2488  -0.22
Ce: 0.9901 0.5861 0.7488  -0.22
Ce: 0.0099 0.4139 0.2512  -0.22
Si: 0.5000 0.0000 0.0000  0.00
Si: 0.5000 0.5000 0.5000  0.00
Si: 0.8567 0.1797 0.5022  0.00
Si: 0.1433 0.8203 0.4978  0.00
Si: 0.1775 0.3545 0.9978  0.00
Si: 0.8225 0.6455 0.0022  0.00
Pt: 0.4435 0.9165 0.7401  0.00
Pt: 0.5565 0.0835 0.2599  0.00
Pt: 0.6765 0.7035 0.7599  0.00
Pt: 0.3235 0.2965 0.2401  0.00
Pt: 0.4372 0.6353 0.9237  0.00
Pt: 0.5628 0.3647 0.0763  0.00
Pt: 0.2116 0.5135 0.5763  0.00
Pt: 0.7884 0.4865 0.4237  0.00
Pt: 0.8905 0.1405 0.7500  0.00
Pt: 0.1095 0.8595 0.2500  0.00
Pt: 0.1385 0.9904 0.9399  0.01
Pt: 0.8615 0.0096 0.0601  0.01
Pt: 0.5505 0.1986 0.5601  0.01
Pt: 0.4495 0.8014 0.4399  0.01
Pt: 0.8766 0.8581 0.5694  0.00
Pt: 0.1234 0.1419 0.4306  0.00
Pt: 0.7887 0.3072 0.9306  0.00
Pt: 0.2113 0.6928 0.0694  0.00

## Properties
E_form (uncorrected) (eV per formula unit): -12.6

=====

[3]
The following is a DFT calculation (PBE) of crystalline Ce2Si3Pt5 at its relaxed geometry.

a = 4.1360 Å, b = 6.9409 Å, c = 12.9759 Å
α = 90.00°, β = 99.17°, γ = 90.00°
Site moments in Bohr magnetons follow the coordinates.
Element x y z (fractional)
Ce: 0.4781 0.7729 0.9562  -0.03
Ce: 0.1724 0.7638 0.3449  0.38
Ce: 0.8276 0.2638 0.6551  0.38
Ce: 0.5219 0.2729 0.0438  -0.03
Si: 0.7845 0.6947 0.5690  0.00
Si: 0.6135 0.5130 0.2271  0.00
Si: 0.0602 0.9973 0.1205  0.00
Si: 0.2155 0.1947 0.4310  0.00
Si: 0.9398 0.4973 0.8795  0.00
Si: 0.3865 0.0130 0.7729  0.00
Pt: 0.4121 0.3467 0.8241  -0.01
Pt: 0.2670 0.5025 0.5341  -0.01
Pt: 0.7330 0.0025 0.4659  -0.01
Pt: 0.1220 0.2985 0.2441  0.00
Pt: 0.2999 0.8942 0.5998  0.00
Pt: 0.9585 0.0812 0.9170  0.00
Pt: 0.7001 0.3942 0.4002  0.00
Pt: 0.8780 0.7985 0.7559  0.00
Pt: 0.0415 0.5812 0.0830  0.00
Pt: 0.5879 0.8467 0.1759  -0.01

## Properties
E_form (uncorrected) (eV per formula unit): -9.2

=====

| no. | VASP energy (eV per atom) |
| --- | --- |
| 1 | -6.647 |
| 2 | -6.791 |
| 3 | -6.755 |